Entry from the Alexandria database: an optimized crystal structure of TaCr8 (GGA-PBE).

Values from the calculation:
Symmetry: No. 139
Magnetic moment, Bohr magnetons per cell: 0.000
E_form, eV/atom: 0.255

abc: 5.5798 5.5798 5.5798
angles: 98.43 98.43 134.96
Sites, in units of the cell vectors:
1 Ta 0.0000 0.0000 0.0000
2 Cr 0.6767 0.6767 0.3533
3 Cr 0.3233 0.3233 0.6467
4 Cr 0.0000 0.3473 0.3473
5 Cr 0.3233 0.6767 0.0000
6 Cr 0.6527 0.0000 0.6527
7 Cr 0.6767 0.3233 0.0000
8 Cr 0.0000 0.6527 0.6527
9 Cr 0.3473 0.0000 0.3473